## LaSmEr5 (GGA-PBE)

Data for a relaxed structure of LaSmEr5.

* excess energy over the best structure of this formula in the dataset: 0.00 eV/f.u.
* density of states at the Fermi level: 1.34 states/eV/atom
* formation energy from the elements: 20 kJ/mol of atoms
* raw total energy: -4.435 eV per atom

Lattice parameters (Å, degrees): 6.758 6.758 13.774 61.15 61.15 61.41
Fractional positions:
Er1 0.158 0.842 0.750
Er2 0.394 0.172 0.247
Er3 0.606 0.828 0.753
Er4 0.296 0.370 0.998
Er5 0.704 0.630 0.002
Er6 0.828 0.606 0.253
Er7 0.842 0.158 0.250
Er8 0.172 0.394 0.747
Er9 0.370 0.296 0.498
Er10 0.630 0.704 0.502
Sm1 0.000 0.000 0.500
Sm2 0.000 0.000 0.000
La1 0.274 0.726 0.250
La2 0.726 0.274 0.750